Material: Ac2GaCu2O6
Method: DFT, PBE
State: relaxed

Values from the calculation:
mass density: 8112 kg/m³
energy relative to the elements, uncorrected: -1904 meV/atom
symmetry: R-3m (166)
DOS at the Fermi energy: 0.633 states/eV/atom
calculated total energy: -0.46858 Ry/atom

Cell: 6.1445 6.1445 6.1445 Å, 57.05 57.05 57.05°
Last column: nearest neighbours and their distance in Å.
Atoms (fractional coordinates):
Ac 0.2199 0.2199 0.2199  3 O 2.54
Ac 0.7801 0.7801 0.7801  3 O 2.54
Ga 0.0000 0.0000 0.0000  6 O 2.01
Cu 0.4173 0.4173 0.4173  3 O 1.88
Cu 0.5827 0.5827 0.5827  3 O 1.88
O 0.2093 0.7654 0.7654  1 Cu 1.88, 1 Ga 2.01
O 0.2346 0.2346 0.7907  1 Cu 1.88, 1 Ga 2.01
O 0.2346 0.7907 0.2346  1 Cu 1.88, 1 Ga 2.01
O 0.7654 0.2093 0.7654  1 Cu 1.88, 1 Ga 2.01
O 0.7654 0.7654 0.2093  1 Cu 1.88, 1 Ga 2.01
O 0.7907 0.2346 0.2346  1 Cu 1.88, 1 Ga 2.01